Below is a relaxed structure of ZrWF3, with properties calculated at the PBE with a Hubbard U level.

abc: 4.425 4.425 4.425
angles: 90.00 90.00 90.00
Element x y z (fractional)
Zr1 0.000 0.000 0.000
W1 0.500 0.500 0.500
F1 0.000 0.500 0.500
F2 0.500 0.000 0.500
F3 0.500 0.500 0.000

Computed properties:
DFT total energy in eV per atom: -5.225
Relative energy among the computed polymorphs in eV/atom: 0.526
Total magnetic moment in μB per formula unit: 6.122
Density of states at the Fermi level in states/eV per atom: 0.98